DFT (PBE) results for LiCdGa after structural relaxation.

The structure in POSCAR format:
```
LiCdGa
1.0
3.0526 0.0000 0.0000
0.0000 4.3928 0.0000
-1.0505 0.0000 8.2517
Li Cd Ga
2 2 2
Direct
0.0883 0.2500 0.2156
0.9117 0.7500 0.7844
0.2838 0.2500 0.5848
0.7162 0.7500 0.4152
0.4585 0.2500 0.9176
0.5415 0.7500 0.0824
```

**M_tot**: 0.00 μB/cell
**ΔE_f**: -228 meV per atom
**Volume**: 111 Å³ per cell
**Energy above the lowest structure with this stoichiometry**: 0 meV per atom

=====

DFT (PBE) results for SrCa2TlNi after structural relaxation.

The structure in POSCAR format:
```
SrCa2TlNi
1.0
5.4296 0.0000 0.0000
0.0000 5.4296 0.0000
0.0000 0.0000 5.6971
Sr Ca Tl Ni
1 2 1 1
Direct
0.0000 0.0000 0.0000
0.0000 0.5000 0.5000
0.5000 0.0000 0.5000
0.5000 0.5000 0.0000
0.0000 0.0000 0.5000
```

**M_tot**: 0.00 μB/cell
**ΔE_f**: -101 meV per atom
**Volume**: 168 Å³ per cell
**Energy above the lowest structure with this stoichiometry**: 12 meV per atom

=====

DFT (PBE) results for Rb2TcCI6 after structural relaxation.

The structure in POSCAR format:
```
Rb2TcCI6
1.0
-3.8895 3.8895 6.1463
3.8895 -3.8895 6.1463
3.8895 3.8895 -6.1463
Rb Tc C I
2 1 1 6
Direct
0.2500 0.7500 0.5000
0.7500 0.2500 0.5000
0.0000 0.0000 0.0000
0.5000 0.5000 0.0000
0.2238 0.2238 0.0000
0.2583 0.2583 0.5165
0.2583 0.7417 0.0000
0.7417 0.2583 0.0000
0.7417 0.7417 0.4835
0.7762 0.7762 0.0000
```

**M_tot**: 4.86 μB/cell
**E_form (uncorrected)**: -0.01 eV per atom
**Volume**: 372 Å³ per cell

=====

DFT (PBE) results for Li2Ca4Hg after structural relaxation.

The structure in POSCAR format:
```
Li2Ca4Hg
1.0
5.3892 0.0000 0.0000
0.0000 5.3892 0.0000
0.0000 0.0000 15.6548
Li Ca Hg
4 8 2
Direct
0.0000 0.0000 0.2420
0.0000 0.0000 0.7580
0.5000 0.5000 0.2580
0.5000 0.5000 0.7420
0.0000 0.5000 0.1172
0.0000 0.5000 0.3828
0.0000 0.5000 0.6172
0.0000 0.5000 0.8828
0.5000 0.0000 0.1172
0.5000 0.0000 0.3828
0.5000 0.0000 0.6172
0.5000 0.0000 0.8828
0.0000 0.0000 0.0000
0.5000 0.5000 0.5000
```

**M_tot**: 0.00 μB/cell
**ΔE_f**: -117 meV per atom
**Volume**: 455 Å³ per cell